This record from Alexandria via LeMat-Bulk describes a relaxed TbMg2Ag2 crystal. The functional is PBE-GGA.

Cell: 4.9775 4.9775 5.5157 Å, 90.00 90.00 120.00°
Fractional positions:
Tb  0.0000  0.0000  0.0000
Mg  0.3333  0.6667  0.3647
Mg  0.6667  0.3333  0.6353
Ag  0.3333  0.6667  0.8568
Ag  0.6667  0.3333  0.1432

N(E_F) = 2.459 states/eV/cell
Energy of formation from the pure elements = -0.17 eV/atom
ΔE to the lowest computed polymorph = 0.026 eV/atom